No. 1
This record from the Alexandria database describes crystalline ZrSc2Cl at its relaxed geometry. The functional is PBE.

Results
offset from the most stable computed form: 533 meV per atom
uncorrected formation energy: -101 meV per atom

Geometry as CIF:
```
data_ZrSc2Cl
_cell_length_a 5.1360
_cell_length_b 3.2513
_cell_length_c 5.6411
_cell_angle_alpha 90.00
_cell_angle_beta 111.59
_cell_angle_gamma 90.00
_symmetry_space_group_name_H-M 'P 1'
_symmetry_Int_Tables_number 1
_symmetry_space_group_name_Hall 'P 1'
loop_
_atom_site_label
_atom_site_type_symbol
_atom_site_fract_x
_atom_site_fract_y
_atom_site_fract_z
Zr1 Zr 0.0000 0.0000 0.0000
Sc1 Sc 0.5000 0.0000 0.5000
Sc2 Sc 0.5000 0.5000 0.0000
Cl1 Cl 0.0000 0.5000 0.5000
```



No. 2
This record from the Alexandria database describes crystalline LiMgTlSb at its relaxed geometry. The functional is PBE.

Results
uncorrected formation energy: -237 meV per atom

Geometry as CIF:
```
data_LiMgTlSb
_cell_length_a 5.1401
_cell_length_b 5.1401
_cell_length_c 5.1401
_cell_angle_alpha 60.00
_cell_angle_beta 60.00
_cell_angle_gamma 60.00
_symmetry_space_group_name_H-M 'P 1'
_symmetry_Int_Tables_number 1
_symmetry_space_group_name_Hall 'P 1'
loop_
_atom_site_label
_atom_site_type_symbol
_atom_site_fract_x
_atom_site_fract_y
_atom_site_fract_z
Li1 Li 0.0000 0.0000 0.0000
Mg1 Mg 0.5000 0.5000 0.5000
Tl1 Tl 0.7500 0.7500 0.7500
Sb1 Sb 0.2500 0.2500 0.2500
```



No. 3
This record from the Alexandria database describes crystalline Cs2ZrTl4 at its relaxed geometry. The functional is PBE.

Results
formation energy: 0.19 eV/atom

Geometry as CIF:
```
data_Cs2ZrTl4
_cell_length_a 10.6616
_cell_length_b 10.6616
_cell_length_c 10.6616
_cell_angle_alpha 147.89
_cell_angle_beta 147.89
_cell_angle_gamma 46.04
_symmetry_space_group_name_H-M 'P 1'
_symmetry_Int_Tables_number 1
_symmetry_space_group_name_Hall 'P 1'
loop_
_atom_site_label
_atom_site_type_symbol
_atom_site_fract_x
_atom_site_fract_y
_atom_site_fract_z
Cs1 Cs 0.1425 0.1425 0.0000
Cs2 Cs 0.8575 0.8575 0.0000
Zr1 Zr 0.5000 0.5000 0.0000
Tl1 Tl 0.0000 0.5000 0.5000
Tl2 Tl 0.3545 0.3545 0.0000
Tl3 Tl 0.5000 0.0000 0.5000
Tl4 Tl 0.6455 0.6455 0.0000
```



No. 4
This record from the Alexandria database describes crystalline TbHo4In4 at its relaxed geometry. The functional is PBE.

Results
formation energy: -0.13 eV/atom

Geometry as CIF:
```
data_TbHo4In4
_cell_length_a 7.1746
_cell_length_b 7.1746
_cell_length_c 10.5633
_cell_angle_alpha 90.00
_cell_angle_beta 90.00
_cell_angle_gamma 90.00
_symmetry_space_group_name_H-M 'P 1'
_symmetry_Int_Tables_number 1
_symmetry_space_group_name_Hall 'P 1'
loop_
_atom_site_label
_atom_site_type_symbol
_atom_site_fract_x
_atom_site_fract_y
_atom_site_fract_z
Tb1 Tb 0.2500 0.7500 0.2500
Tb2 Tb 0.7500 0.2500 0.7500
Ho1 Ho 0.0212 0.2500 0.1660
Ho2 Ho 0.2500 0.0212 0.6660
Ho3 Ho 0.2500 0.4788 0.6660
Ho4 Ho 0.4788 0.2500 0.1660
Ho5 Ho 0.5212 0.7500 0.8340
Ho6 Ho 0.7500 0.5212 0.3340
Ho7 Ho 0.7500 0.9788 0.3340
Ho8 Ho 0.9788 0.7500 0.8340
In1 In 0.0304 0.2500 0.4649
In2 In 0.2500 0.0304 0.9649
In3 In 0.2500 0.4696 0.9649
In4 In 0.4696 0.2500 0.4649
In5 In 0.5304 0.7500 0.5351
In6 In 0.7500 0.5304 0.0351
In7 In 0.7500 0.9696 0.0351
In8 In 0.9696 0.7500 0.5351
```



No. 5
This record from the Alexandria database describes crystalline NaLi5Cd4 at its relaxed geometry. The functional is PBE.

Results
formation energy: -0.20 eV/atom

Geometry as CIF:
```
data_NaLi5Cd4
_cell_length_a 3.4054
_cell_length_b 3.4054
_cell_length_c 17.2976
_cell_angle_alpha 90.00
_cell_angle_beta 90.00
_cell_angle_gamma 90.00
_symmetry_space_group_name_H-M 'P 1'
_symmetry_Int_Tables_number 1
_symmetry_space_group_name_Hall 'P 1'
loop_
_atom_site_label
_atom_site_type_symbol
_atom_site_fract_x
_atom_site_fract_y
_atom_site_fract_z
Na1 Na 0.0000 0.0000 0.0000
Li1 Li 0.5000 0.5000 0.1345
Li2 Li 0.5000 0.5000 0.3148
Li3 Li 0.5000 0.5000 0.5000
Li4 Li 0.5000 0.5000 0.6852
Li5 Li 0.5000 0.5000 0.8655
Cd1 Cd 0.0000 0.0000 0.2234
Cd2 Cd 0.0000 0.0000 0.4070
Cd3 Cd 0.0000 0.0000 0.5930
Cd4 Cd 0.0000 0.0000 0.7766
```



No. 6
This record from the Alexandria database describes crystalline Li2CuAuN at its relaxed geometry. The functional is PBE.

Results
uncorrected formation energy: -185 meV per atom

Geometry as CIF:
```
data_Li2CuAuN
_cell_length_a 4.1331
_cell_length_b 4.1331
_cell_length_c 3.6804
_cell_angle_alpha 90.00
_cell_angle_beta 90.00
_cell_angle_gamma 90.00
_symmetry_space_group_name_H-M 'P 1'
_symmetry_Int_Tables_number 1
_symmetry_space_group_name_Hall 'P 1'
loop_
_atom_site_label
_atom_site_type_symbol
_atom_site_fract_x
_atom_site_fract_y
_atom_site_fract_z
Li1 Li 0.0000 0.5000 0.0000
Li2 Li 0.5000 0.0000 0.0000
Cu1 Cu 0.0000 0.0000 0.5000
Au1 Au 0.5000 0.5000 0.5000
N1 N 0.0000 0.0000 0.0000
```



| no. | volume (Å³/cell) |
| --- | --- |
| 1 | 87.6 |
| 2 | 96.0 |
| 3 | 341.2 |
| 4 | 543.8 |
| 5 | 200.6 |
| 6 | 62.9 |